This record from Alexandria describes crystalline GaSn3Pb12 at its relaxed geometry. The functional is PBE.

Cell: 4.8806 4.8806 20.4745 Å, 90.00 90.00 90.00°
Fractional positions:
Ga  0.0000  0.0000  0.0000
Sn  0.0000  0.0000  0.2461
Sn  0.0000  0.0000  0.5000
Sn  0.0000  0.0000  0.7539
Pb  0.0000  0.5000  0.1206
Pb  0.0000  0.5000  0.3734
Pb  0.0000  0.5000  0.6266
Pb  0.0000  0.5000  0.8794
Pb  0.5000  0.0000  0.1206
Pb  0.5000  0.0000  0.3734
Pb  0.5000  0.0000  0.6266
Pb  0.5000  0.0000  0.8794
Pb  0.5000  0.5000  0.0000
Pb  0.5000  0.5000  0.2471
Pb  0.5000  0.5000  0.5000
Pb  0.5000  0.5000  0.7529

Values from the calculation:
The final energy is -3.6812 eV/atom. The calculation puts the size of the total moment at 0.000 μB per atom. The calculation puts the formation enthalpy at 0 K at 0.04 eV/atom.